(1)
5
Lattice="5.2271 0.0000 0.0000 0.0000 5.2271 0.0000 0.0000 0.0000 5.5285" Properties=species:S:1:pos:R:3 comment="BaLiHg2Bi (PBE-GGA, optimized geometry)" mass_density_g_cm3=8.3 formation_energy_ev_per_atom=-0.459 pbc="T T T"
Bi 0.0000 0.0000 2.7642
Li 0.0000 0.0000 0.0000
Hg 2.6136 0.0000 0.0000
Hg 0.0000 2.6136 0.0000
Ba 2.6136 2.6136 2.7642


(2)
12
Lattice="-0.0581 -3.9438 1.6180 -2.4704 -3.0557 -7.5369 9.2699 1.6076 -1.3654" Properties=species:S:1:pos:R:3 comment="Th6P2PbSe3 (PBE-GGA, optimized geometry)" formation_energy_uncorrected_kcal_per_mol_atoms=-30.5 mass_density_g_cm3=9.6 pbc="T T T"
Th 2.9296 -2.4232 -0.1848
Th 5.0409 -1.5459 -3.5872
Th -0.4659 -0.8380 -2.0594
Th 1.7006 -3.8461 -3.6972
Th 7.2074 -4.5539 -5.2250
Th 3.8119 -2.9688 -7.0995
Se 0.8880 -2.6625 -6.4580
Se -1.2642 -3.4997 -2.9595
Se 5.8535 -2.7294 -0.8263
P 4.4228 -4.2377 -4.5542
P 2.3187 -1.1542 -2.7302
Pb -0.0290 -1.9719 0.8090


(3)
14
Lattice="7.2774 0.0000 -0.4385 0.0000 6.3108 0.0000 -3.3027 0.0000 7.4060" Properties=species:S:1:pos:R:3 comment="Mg4Tl2Ag (PBE-GGA, optimized geometry)" mass_density_g_cm3=6.2 relative_energy_mev_per_atom=30 formation_energy_ev_per_atom=0.000 pbc="T T T"
Mg -1.3573 4.7331 3.5816
Mg 3.3544 0.0118 1.4559
Mg 0.6202 6.2990 5.5116
Mg 3.3544 3.1436 1.4559
Mg 5.3320 1.5777 3.3859
Mg 0.6202 3.1672 5.5116
Mg 5.8886 1.5777 0.2623
Mg -1.9140 4.7331 6.7052
Tl -1.7399 1.5777 6.8217
Tl 0.8883 1.5777 2.7523
Tl 5.7145 4.7331 0.1458
Tl 3.0863 4.7331 4.2152
Ag 2.9430 1.5777 4.8862
Ag 1.0316 4.7331 2.0813


(4)
16
Lattice="5.0182 0.0000 0.0000 0.0000 7.2397 0.0000 0.0000 0.0000 14.5729" Properties=species:S:1:pos:R:3 comment="Tb2Pr5In (PBE-GGA, optimized geometry)" mass_density_g_cm3=7.1 relative_energy_mev_per_atom=31 formation_energy_ev_per_atom=-0.083 pbc="T T T"
Pr 0.0000 0.0235 10.7640
Pr 2.5091 5.4263 1.8141
Pr 2.5091 5.4333 9.1005
Pr 0.0000 7.2162 3.8089
Pr 2.5091 1.8134 12.7589
Pr 0.0000 3.6434 11.0954
Pr 0.0000 3.5964 3.4775
Pr 2.5091 1.8064 5.4724
Pr 0.0000 3.6199 7.2865
Pr 0.0000 0.0000 0.0000
Tb 2.5091 1.8256 1.7444
Tb 2.5091 1.7942 9.0309
Tb 2.5091 5.4141 12.8285
Tb 2.5091 5.4455 5.5420
In 0.0000 3.6199 0.0000
In 0.0000 0.0000 7.2865


(5)
7
Lattice="-2.5091 -2.7079 2.4573 -0.9679 -1.1029 -6.2054 6.9172 -4.1909 2.4448" Properties=species:S:1:pos:R:3 comment="Dy2Tm3Pb2 (PBE-GGA, optimized geometry)" mass_density_g_cm3=9.8 formation_energy_ev_per_atom=-0.295 pbc="T T T"
Dy -1.3750 -4.0991 -1.9194
Dy 4.8151 -3.9026 0.6161
Tm 2.2130 -4.2171 -2.3874
Tm -1.2546 -1.3540 1.2287
Tm 1.2271 -3.7846 1.0842
Pb 2.8535 -6.3231 -0.0526
Pb 0.5867 -1.6785 -1.2507


(6)
7
Lattice="-2.6215 -0.3662 4.4149 2.5209 -0.1466 4.4856 -0.4212 8.7436 3.4760" Properties=species:S:1:pos:R:3 comment="Pr4InCu2 (PBE-GGA, optimized geometry)" mass_density_g_cm3=6.5 formation_energy_ev_per_atom=-0.064 pbc="T T T"
In 0.0000 0.0000 0.0000
Cu -0.3058 6.0912 3.3245
Cu -0.2159 2.1397 9.0520
Pr -0.3973 7.2530 6.3675
Pr -0.3421 5.0429 9.2178
Pr -0.1244 0.9779 6.0090
Pr -0.1796 3.1879 3.1587